DFT (PBE) results for EuGaN after structural relaxation.

Calculated values
Energy relative to the elements, uncorrected, eV/atom: -0.047
Space group: I4mm (107)

Cell lengths 4.379, 4.379, 4.728 Å; angles 117.58, 117.58, 90.00 degrees
Site moments in Bohr magnetons follow the coordinates.
Fractional positions:
Eu: 0.919 0.919 0.839  6.78
Ga: 0.339 0.339 0.678  0.04
N: 0.592 0.592 0.183  -0.09


DFT (PBE) results for CaPm2Sn2 after structural relaxation.

Calculated values
ΔE_f, eV/atom: -0.7092
E above lowest polymorph, eV/atom: 0.000
Space group: P4/mbm (127)

Cell lengths 4.575, 8.174, 8.174 Å; angles 90.00, 90.00, 90.00 degrees
Fractional positions:
Ca: 0.000 0.000 0.000
Ca: 0.000 0.500 0.500
Pm: 0.500 0.175 0.675
Pm: 0.500 0.675 0.825
Pm: 0.500 0.825 0.325
Pm: 0.500 0.325 0.175
Sn: 0.000 0.375 0.875
Sn: 0.000 0.875 0.625
Sn: 0.000 0.625 0.125
Sn: 0.000 0.125 0.375


DFT (PBE) results for PuU2Os2 after structural relaxation.

Calculated values
ΔE_f, eV/atom: -0.0013
E above lowest polymorph, eV/atom: 0.000
Space group: C2/m (12)

Cell lengths 4.810, 4.676, 5.414 Å; angles 65.16, 63.63, 59.04 degrees
Site moments in Bohr magnetons follow the coordinates.
Fractional positions:
Pu: 0.000 0.000 0.000  3.85
U: 0.397 0.415 0.791  -0.17
U: 0.603 0.585 0.209  -0.17
Os: 0.795 0.819 0.591  -0.12
Os: 0.205 0.181 0.409  -0.12


DFT (PBE) results for ThZn11Au after structural relaxation.

Calculated values
ΔE_f, eV/atom: -0.1902
Space group: C2/m (12)

Cell lengths 5.336, 6.887, 6.901 Å; angles 81.30, 67.26, 66.96 degrees
Fractional positions:
Th: 0.000 0.000 0.000
Zn: 0.274 0.215 0.222
Zn: 0.726 0.785 0.778
Zn: 0.504 0.785 0.222
Zn: 0.496 0.215 0.778
Zn: 0.354 0.646 0.641
Zn: 0.646 0.354 0.359
Zn: 0.005 0.354 0.641
Zn: 0.995 0.646 0.359
Zn: 0.000 0.500 0.000
Zn: 0.500 0.000 0.500
Zn: 0.000 0.000 0.500
Au: 0.500 0.500 0.000


DFT (PBE) results for Ba3La3PmTe8 after structural relaxation.

Calculated values
Energy relative to the elements, uncorrected, eV/atom: -1.636
Space group: R-3m (166)

Cell lengths 9.327, 9.324, 9.679 Å; angles 118.78, 90.00, 120.00 degrees
Fractional positions:
Ba: 0.000 0.000 0.000
Ba: 0.000 0.500 0.000
Ba: 0.500 0.500 0.000
La: 0.500 0.000 0.500
La: 0.500 0.500 0.500
La: 0.000 0.500 0.500
Pm: 0.000 0.000 0.500
Te: 0.257 0.514 0.271
Te: 0.743 0.486 0.729
Te: 0.760 0.521 0.277
Te: 0.240 0.479 0.723
Te: 0.760 0.016 0.277
Te: 0.240 0.984 0.723
Te: 0.256 0.016 0.277
Te: 0.744 0.984 0.723


DFT (PBE) results for Ce8CoRu2 after structural relaxation.

Calculated values
ΔE_f, eV/atom: -0.1486
Space group: Cm (8)

Cell lengths 5.785, 8.095, 8.095 Å; angles 125.73, 104.46, 104.46 degrees
Site moments in Bohr magnetons follow the coordinates.
Fractional positions:
Ru: 0.383 0.680 0.299  -0.02
Ru: 0.383 0.299 0.680  -0.02
Co: 0.306 0.026 0.026  -0.02
Ce: 0.680 0.450 0.181  0.14
Ce: 0.680 0.181 0.450  0.14
Ce: 0.059 0.234 0.234  0.14
Ce: 0.993 0.172 0.783  0.18
Ce: 0.993 0.783 0.172  0.18
Ce: 0.751 0.631 0.631  0.15
Ce: 0.386 0.904 0.675  0.05
Ce: 0.386 0.675 0.904  0.05


DFT (PBE) results for ScIrPb2 after structural relaxation.

Calculated values
ΔE_f, eV/atom: 0.0393
E above lowest polymorph, eV/atom: 0.319
Space group: P2/m (10)

Cell lengths 4.612, 3.426, 5.727 Å; angles 83.35, 90.00, 90.00 degrees
Fractional positions:
Ir: 0.500 0.750 0.750
Pb: 0.000 0.937 0.990
Pb: 0.000 0.563 0.510
Sc: 0.500 0.250 0.250


DFT (PBE) results for Tb4Si3PdPt12 after structural relaxation.

Calculated values
Energy relative to the elements, uncorrected, eV/atom: -0.490
Space group: Im-3m (229)

Cell lengths 8.078, 8.078, 8.078 Å; angles 109.47, 109.47, 109.47 degrees
Fractional positions:
Tb: 0.500 0.500 0.500
Tb: 0.000 0.000 0.500
Tb: 0.500 0.000 0.000
Tb: 0.000 0.500 0.000
Si: 0.500 0.000 0.500
Si: 0.500 0.500 0.000
Si: 0.000 0.500 0.500
Pd: 0.000 0.000 0.000
Pt: 0.250 0.500 0.750
Pt: 0.735 0.000 0.735
Pt: 0.265 0.000 0.265
Pt: 0.750 0.500 0.250
Pt: 0.735 0.735 0.000
Pt: 0.265 0.265 0.000
Pt: 0.750 0.250 0.500
Pt: 0.250 0.750 0.500
Pt: 0.500 0.250 0.750
Pt: 0.000 0.735 0.735
Pt: 0.500 0.750 0.250
Pt: 0.000 0.265 0.265


DFT (PBE) results for BaNaCd4 after structural relaxation.

Calculated values
ΔE_f, eV/atom: -0.2262
Space group: F-43m (216)

Cell lengths 6.228, 6.228, 6.228 Å; angles 60.00, 60.00, 60.00 degrees
Fractional positions:
Na: 0.000 0.000 0.000
Ba: 0.250 0.250 0.250
Cd: 0.626 0.626 0.122
Cd: 0.626 0.122 0.626
Cd: 0.626 0.626 0.626
Cd: 0.122 0.626 0.626


DFT (PBE) results for BeNbCu after structural relaxation.

Calculated values
ΔE_f, eV/atom: -0.0759
E above lowest polymorph, eV/atom: 0.006
Space group: I4mm (107)

Cell lengths 2.746, 2.746, 5.441 Å; angles 104.62, 104.62, 90.00 degrees
Fractional positions:
Be: 0.683 0.683 0.366
Nb: 0.011 0.011 0.022
Cu: 0.306 0.306 0.612


DFT (PBE) results for Cs2Sb4Au3 after structural relaxation.

Calculated values
Energy relative to the elements, uncorrected, eV/atom: -0.318
Space group: Fmmm (69)

Cell lengths 7.470, 7.470, 7.847 Å; angles 104.73, 104.73, 117.76 degrees
Fractional positions:
Cs: 0.647 0.647 0.294
Cs: 0.353 0.353 0.706
Sb: 0.053 0.706 0.759
Sb: 0.706 0.053 0.759
Sb: 0.947 0.294 0.241
Sb: 0.294 0.947 0.241
Au: 0.500 0.000 0.000
Au: 0.000 0.000 0.000
Au: 0.000 0.500 0.000


DFT (PBE) results for La6InHg after structural relaxation.

Calculated values
ΔE_f, eV/atom: -0.2407
E above lowest polymorph, eV/atom: 0.000
Space group: I4/mmm (139)

Cell lengths 5.416, 5.416, 9.905 Å; angles 74.14, 74.14, 90.00 degrees
Fractional positions:
La: 0.748 0.748 0.505
La: 0.612 0.112 0.776
La: 0.112 0.612 0.776
La: 0.388 0.888 0.224
La: 0.252 0.252 0.495
La: 0.888 0.388 0.224
In: 0.500 0.500 0.000
Hg: 0.000 0.000 0.000